# Th2ZrSc2

A relaxed Th2ZrSc2 crystal (PBE, the Alexandria database).

Values from the calculation:
DOS at the Fermi energy in states/eV/f.u.: 6.37
Space-group type: R-3m (166)
ΔH_f (0 K) in eV/atom: 0.075

Lattice parameters (Å, degrees): 6.3403 6.3403 6.3403 49.14 49.14 49.14
Element x y z (fractional)
Th  0.0992  0.0992  0.0992
Th  0.9008  0.9008  0.9008
Zr  0.5000  0.5000  0.5000
Sc  0.3091  0.3091  0.3091
Sc  0.6909  0.6909  0.6909